(1)
VASP calculation (PBE) on a geometry-optimized P3RuRh structure.

a b c (Å): 4.508 4.508 4.508
angles (deg): 90.00 90.00 90.00
Fractional positions:
P: 0.000 0.000 0.500
P: 0.500 0.000 0.000
P: 0.000 0.500 0.000
Rh: 0.500 0.500 0.500
Ru: 0.000 0.000 0.000

Computed properties:
Distance to the lowest polymorph of the same formula ... 0.00 kcal/mol of atoms
Formation energy ... 4.0 eV per formula unit



(2)
VASP calculation (PBE) on a geometry-optimized P2RuRh structure.

a b c (Å): 4.147 4.147 4.842
angles (deg): 76.99 76.99 47.02
Fractional positions:
P: 0.011 0.011 0.965
P: 0.221 0.221 0.432
Ru: 0.743 0.743 0.763
Rh: 0.526 0.526 0.341

Computed properties:
Distance to the lowest polymorph of the same formula ... 0.63 kcal/mol of atoms
Formation energy ... -1.5 eV per formula unit



(3)
VASP calculation (PBE) on a geometry-optimized PRu2Rh structure.

a b c (Å): 5.360 5.360 6.546
angles (deg): 65.83 65.83 90.00
Fractional positions:
Ru: 0.152 0.625 0.250
Ru: 0.375 0.402 0.750
Ru: 0.875 0.848 0.750
Ru: 0.598 0.125 0.250
Rh: 0.750 0.250 0.500
Rh: 0.000 0.000 0.000
P: 0.500 0.500 0.000
P: 0.250 0.750 0.500

Computed properties:
Formation energy ... 2.0 eV per formula unit



(4)
VASP calculation (PBE) on a geometry-optimized PRu2Rh structure.

a b c (Å): 4.286 4.286 4.286
angles (deg): 60.00 60.00 60.00
Last column: magnetic moment on the atom in μB.
Fractional positions:
P: 0.500 0.500 0.500  0.02
Ru: 0.000 0.000 0.000  0.77
Ru: 0.250 0.250 0.250  0.57
Rh: 0.750 0.750 0.750  0.57

Computed properties:
Formation energy ... 1.1 eV per formula unit



Number 1: uncorrected energy -5.76 eV per atom. Number 2: uncorrected energy -7.23 eV per atom. Number 3: uncorrected energy -7.33 eV per atom. Number 4: uncorrected energy -7.55 eV per atom.